Compound: Pb2C2ClO6
Source: the Alexandria database
Functional: PBE
Structure: relaxed

Cell: 6.519 4.594 6.671 Å, 116.07 101.89 63.08°
Sites, in units of the cell vectors:
Pb: 0.754 0.497 0.750
Pb: 0.246 0.503 0.250
C: 0.180 0.751 0.822
C: 0.820 0.249 0.178
Cl: 0.500 0.000 0.500
O: 0.350 0.827 0.923
O: 0.893 0.406 0.103
O: 0.073 0.829 0.655
O: 0.107 0.594 0.897
O: 0.927 0.171 0.345
O: 0.650 0.173 0.077

Computed properties:
Space-group type: P-1 (2)
E_form (uncorrected) (kcal/mol of atoms): -28.01
Magnetic moment (μB per atom): 0.00
Volume (A^3/atom): 14.55
DFT total energy (eV/atom): -6.438

---

Compound: Hf2CdCuMo
Source: the Alexandria database
Functional: PBE
Structure: relaxed

Cell: 5.146 4.419 5.146 Å, 90.00 90.00 90.00°
Sites, in units of the cell vectors:
Mo: 0.500 0.500 0.500
Hf: 0.000 0.000 0.500
Hf: 0.500 0.000 0.000
Cu: 0.000 0.500 0.000
Cd: 0.000 0.000 0.000

Computed properties:
Space-group type: P4/mmm (123)
Magnetic moment (μB per atom): 0.00
Volume (A^3/atom): 23.40
E_form (eV/atom): 1.585
DFT total energy (eV/atom): -5.565

---

Compound: Pm2ScCd2
Source: the Alexandria database
Functional: PBE
Structure: relaxed

Cell: 3.659 5.238 14.139 Å, 90.00 97.41 90.00°
Sites, in units of the cell vectors:
Pm: 0.043 0.750 0.085
Pm: 0.957 0.250 0.915
Pm: 0.234 0.750 0.469
Pm: 0.766 0.250 0.531
Sc: 0.848 0.750 0.696
Sc: 0.152 0.250 0.304
Cd: 0.638 0.750 0.277
Cd: 0.362 0.250 0.723
Cd: 0.437 0.750 0.874
Cd: 0.563 0.250 0.126

Computed properties:
Distance to the lowest polymorph of the same formula (meV/atom): 0
Space-group type: P2_1/m (11)
Magnetic moment (μB per atom): 0.03
Volume (A^3/atom): 26.87
E_form (eV/atom): -0.207
DFT total energy (eV/atom): -3.740

---

Compound: TmPu2Te2N2
Source: the Alexandria database
Functional: PBE
Structure: relaxed

Cell: 4.364 4.364 8.450 Å, 104.97 104.97 90.00°
Sites, in units of the cell vectors:
Tm: 0.000 0.000 0.000
Pu: 0.402 0.402 0.804
Pu: 0.598 0.598 0.196
Te: 0.189 0.189 0.379
Te: 0.811 0.811 0.621
N: 0.000 0.500 0.000
N: 0.500 0.000 0.000

Computed properties:
Space-group type: I4/mmm (139)
E_form (uncorrected) (kcal/mol of atoms): -23.73
Magnetic moment (μB per atom): 1.30
Volume (A^3/atom): 21.41
DFT total energy (eV/atom): -9.039

---

Theoretical density list, top to bottom, in g/cm3: 5.91, 8.92, 6.92, 10.42